Compound: Pr5InCo2
Source: Alexandria via LeMat-Bulk
Functional: PBE
Structure: relaxed

Structure (extended XYZ):
```
16
Lattice="7.1636 0.0000 -3.3816 -1.5963 6.9834 -3.3816 -0.1432 -0.1796 8.9751" Properties=species:S:1:pos:R:3 pbc="T T T"
Pr 6.1565 3.2297 -2.5046
Pr -0.7324 3.5741 4.7165
Pr 1.3233 0.0824 5.8136
Pr 2.5691 4.8001 2.4321
Pr 4.6248 1.3084 3.5292
Pr 0.7992 5.4954 -1.3173
Pr 2.7836 3.4917 -3.3816
Pr 4.1008 6.7214 -3.6017
Pr 2.8549 2.0037 -0.2201
Pr 0.0000 0.0000 0.0000
Co 5.2274 4.3990 -5.0724
Co 0.3399 2.5844 -1.6908
Co 1.2622 6.0762 -4.1937
Co 4.3051 0.9073 -2.5694
In 4.1039 5.1478 -0.5848
In 1.3202 1.6560 2.7967
```

Properties
DFT total energy (eV per atom): -5.248
Formation energy from the elements (meV/atom): -142
Space-group type: I4/mcm